# Pm3TlHg5 (PBE-GGA, optimized geometry)
data_Pm3TlHg5
_space_group_name_H-M_alt 'P 63/m c m'
_space_group_IT_number 193
_space_group_name_Hall '-P 6c 2'
_cell_length_a 9.1480
_cell_length_b 9.1480
_cell_length_c 6.5298
_cell_angle_alpha 90.00
_cell_angle_beta 90.00
_cell_angle_gamma 120.00
loop_
_atom_site_label
_atom_site_fract_x
_atom_site_fract_y
_atom_site_fract_z
Pm1 0.0000 0.3351 0.2500
Tl1 0.0000 0.0000 0.0000
Hg1 0.0000 0.3347 0.7500
Hg2 0.3333 0.6667 0.0000
# energy of formation = -374 kJ/mol of formula units
# total magnetization = 0.00 μB/f.u.
# E_tot = -44.0 eV for the cell shown